# Sb2Rh2Se (PBE-GGA, relaxed)
data_Sb2Rh2Se
_chemical_formula_sum 'Sb4 Rh4 Se2'
_cell_length_a 8.104
_cell_length_b 8.104
_cell_length_c 3.004
_cell_angle_alpha 90.00
_cell_angle_beta 90.00
_cell_angle_gamma 90.00
_symmetry_space_group_name_H-M 'P 1'
_symmetry_Int_Tables_number 1
_symmetry_space_group_name_Hall 'P 1'
loop_
_atom_site_label
_atom_site_type_symbol
_atom_site_fract_x
_atom_site_fract_y
_atom_site_fract_z
Sb1 Sb 0.338 0.838 0.000
Sb2 Sb 0.838 0.662 0.000
Sb3 Sb 0.662 0.162 0.000
Sb4 Sb 0.162 0.338 0.000
Rh1 Rh 0.125 0.625 0.500
Rh2 Rh 0.625 0.875 0.500
Rh3 Rh 0.875 0.375 0.500
Rh4 Rh 0.375 0.125 0.500
Se1 Se 0.000 0.000 0.000
Se2 Se 0.500 0.500 0.000
# total energy = -52.58 eV/cell
# ΔE_f (raw) = 0.0288 eV/atom
# calculated density = 8.9 g/cm3
# Fermi-level density of states = 0.656 states/eV/atom
# offset from the most stable computed form = 165 meV/atom